A geometry-optimized KSr2Hg structure. Source: the Alexandria database, functional PBE.

Structure (CIF):
```
data_KSr2Hg
_space_group_name_H-M_alt 'P 1'
_space_group_IT_number 1
_space_group_name_Hall 'P 1'
_cell_length_a 4.565
_cell_length_b 4.565
_cell_length_c 11.779
_cell_angle_alpha 78.83
_cell_angle_beta 78.83
_cell_angle_gamma 60.00
loop_
_atom_site_label
_atom_site_type_symbol
_atom_site_fract_x
_atom_site_fract_y
_atom_site_fract_z
K1 K 0.500 0.500 0.499
Sr1 Sr 0.057 0.057 0.830
Sr2 Sr 0.276 0.276 0.171
Hg1 Hg 0.667 0.667 0.000
```

***

A geometry-optimized K2SrHg structure. Source: the Alexandria database, functional PBE.

Structure (CIF):
```
data_K2SrHg
_space_group_name_H-M_alt 'P 1'
_space_group_IT_number 1
_space_group_name_Hall 'P 1'
_cell_length_a 10.174
_cell_length_b 10.174
_cell_length_c 10.174
_cell_angle_alpha 156.24
_cell_angle_beta 150.15
_cell_angle_gamma 38.51
loop_
_atom_site_label
_atom_site_type_symbol
_atom_site_fract_x
_atom_site_fract_y
_atom_site_fract_z
Hg1 Hg 0.750 0.250 0.500
K1 K 0.916 0.916 0.000
K2 K 0.584 0.584 0.000
Sr1 Sr 0.250 0.750 0.500
```

***

A geometry-optimized KSr2Hg structure. Source: the Alexandria database, functional PBE.

Structure (CIF):
```
data_KSr2Hg
_space_group_name_H-M_alt 'P 1'
_space_group_IT_number 1
_space_group_name_Hall 'P 1'
_cell_length_a 7.231
_cell_length_b 7.231
_cell_length_c 7.231
_cell_angle_alpha 136.66
_cell_angle_beta 136.66
_cell_angle_gamma 62.96
loop_
_atom_site_label
_atom_site_type_symbol
_atom_site_fract_x
_atom_site_fract_y
_atom_site_fract_z
Hg1 Hg 0.500 0.500 0.000
K1 K 0.750 0.250 0.500
Sr1 Sr 0.000 0.000 0.000
Sr2 Sr 0.250 0.750 0.500
```

***

A geometry-optimized K2SrHg structure. Source: the Alexandria database, functional PBE.

Structure (CIF):
```
data_K2SrHg
_space_group_name_H-M_alt 'P 1'
_space_group_IT_number 1
_space_group_name_Hall 'P 1'
_cell_length_a 11.069
_cell_length_b 11.069
_cell_length_c 8.542
_cell_angle_alpha 49.62
_cell_angle_beta 49.62
_cell_angle_gamma 90.00
loop_
_atom_site_label
_atom_site_type_symbol
_atom_site_fract_x
_atom_site_fract_y
_atom_site_fract_z
Sr1 Sr 0.500 0.500 0.000
Sr2 Sr 0.250 0.750 0.500
K1 K 0.705 0.125 0.250
K2 K 0.045 0.625 0.250
K3 K 0.375 0.295 0.750
K4 K 0.875 0.955 0.750
Hg1 Hg 0.000 0.000 0.000
Hg2 Hg 0.750 0.250 0.500
```

***

A geometry-optimized KSrHg3 structure. Source: the Alexandria database, functional PBE.

Structure (CIF):
```
data_KSrHg3
_space_group_name_H-M_alt 'P 1'
_space_group_IT_number 1
_space_group_name_Hall 'P 1'
_cell_length_a 6.253
_cell_length_b 6.253
_cell_length_c 6.253
_cell_angle_alpha 90.00
_cell_angle_beta 90.00
_cell_angle_gamma 90.00
loop_
_atom_site_label
_atom_site_type_symbol
_atom_site_fract_x
_atom_site_fract_y
_atom_site_fract_z
Sr1 Sr 0.000 0.000 0.000
K1 K 0.500 0.500 0.500
Hg1 Hg 0.000 0.500 0.000
Hg2 Hg 0.000 0.000 0.500
Hg3 Hg 0.500 0.000 0.000
```

***

A geometry-optimized KSrHg structure. Source: the Alexandria database, functional PBE.

Structure (CIF):
```
data_KSrHg
_space_group_name_H-M_alt 'P 1'
_space_group_IT_number 1
_space_group_name_Hall 'P 1'
_cell_length_a 8.104
_cell_length_b 8.105
_cell_length_c 4.152
_cell_angle_alpha 75.15
_cell_angle_beta 75.17
_cell_angle_gamma 29.68
loop_
_atom_site_label
_atom_site_type_symbol
_atom_site_fract_x
_atom_site_fract_y
_atom_site_fract_z
Hg1 Hg 0.015 0.015 0.985
K1 K 0.360 0.360 0.640
Sr1 Sr 0.625 0.625 0.375
```

***

A geometry-optimized K2SrHg structure. Source: the Alexandria database, functional PBE.

Structure (CIF):
```
data_K2SrHg
_space_group_name_H-M_alt 'P 1'
_space_group_IT_number 1
_space_group_name_Hall 'P 1'
_cell_length_a 7.199
_cell_length_b 7.199
_cell_length_c 4.397
_cell_angle_alpha 90.00
_cell_angle_beta 90.00
_cell_angle_gamma 118.28
loop_
_atom_site_label
_atom_site_type_symbol
_atom_site_fract_x
_atom_site_fract_y
_atom_site_fract_z
Hg1 Hg 0.000 0.500 0.500
K1 K 0.000 0.000 0.000
K2 K 0.500 0.500 0.000
Sr1 Sr 0.500 0.000 0.500
```

***

A geometry-optimized K2SrHg2 structure. Source: the Alexandria database, functional PBE.

Structure (CIF):
```
data_K2SrHg2
_space_group_name_H-M_alt 'P 1'
_space_group_IT_number 1
_space_group_name_Hall 'P 1'
_cell_length_a 5.014
_cell_length_b 5.014
_cell_length_c 8.671
_cell_angle_alpha 73.20
_cell_angle_beta 73.20
_cell_angle_gamma 90.00
loop_
_atom_site_label
_atom_site_type_symbol
_atom_site_fract_x
_atom_site_fract_y
_atom_site_fract_z
Sr1 Sr 0.000 0.000 0.000
K1 K 0.750 0.250 0.500
K2 K 0.250 0.750 0.500
Hg1 Hg 0.408 0.408 0.184
Hg2 Hg 0.592 0.592 0.816
```

***

A geometry-optimized KSr2Hg structure. Source: the Alexandria database, functional PBE.

Structure (CIF):
```
data_KSr2Hg
_space_group_name_H-M_alt 'P 1'
_space_group_IT_number 1
_space_group_name_Hall 'P 1'
_cell_length_a 7.748
_cell_length_b 7.748
_cell_length_c 6.916
_cell_angle_alpha 63.65
_cell_angle_beta 63.65
_cell_angle_gamma 31.36
loop_
_atom_site_label
_atom_site_type_symbol
_atom_site_fract_x
_atom_site_fract_y
_atom_site_fract_z
Hg1 Hg 0.750 0.750 0.750
K1 K 0.250 0.250 0.250
Sr1 Sr 0.054 0.054 0.946
Sr2 Sr 0.446 0.446 0.554
```

***

A geometry-optimized K2SrHg structure. Source: the Alexandria database, functional PBE.

Structure (CIF):
```
data_K2SrHg
_space_group_name_H-M_alt 'P 1'
_space_group_IT_number 1
_space_group_name_Hall 'P 1'
_cell_length_a 6.321
_cell_length_b 6.321
_cell_length_c 6.321
_cell_angle_alpha 119.44
_cell_angle_beta 119.44
_cell_angle_gamma 90.97
loop_
_atom_site_label
_atom_site_type_symbol
_atom_site_fract_x
_atom_site_fract_y
_atom_site_fract_z
Hg1 Hg 0.750 0.250 0.500
K1 K 0.000 0.000 0.000
K2 K 0.250 0.750 0.500
Sr1 Sr 0.500 0.500 0.000
```

***

A geometry-optimized K2SrHg structure. Source: the Alexandria database, functional PBE.

Structure (CIF):
```
data_K2SrHg
_space_group_name_H-M_alt 'P 1'
_space_group_IT_number 1
_space_group_name_Hall 'P 1'
_cell_length_a 7.977
_cell_length_b 7.977
_cell_length_c 7.977
_cell_angle_alpha 148.14
_cell_angle_beta 129.87
_cell_angle_gamma 60.63
loop_
_atom_site_label
_atom_site_type_symbol
_atom_site_fract_x
_atom_site_fract_y
_atom_site_fract_z
Hg1 Hg 0.740 0.240 0.500
K1 K 0.945 0.945 0.000
K2 K 0.255 0.755 0.500
Sr1 Sr 0.560 0.560 0.000
```

***

A geometry-optimized K2SrHg structure. Source: the Alexandria database, functional PBE.

Structure (CIF):
```
data_K2SrHg
_space_group_name_H-M_alt 'P 1'
_space_group_IT_number 1
_space_group_name_Hall 'P 1'
_cell_length_a 4.324
_cell_length_b 4.324
_cell_length_c 10.593
_cell_angle_alpha 90.00
_cell_angle_beta 90.00
_cell_angle_gamma 89.95
loop_
_atom_site_label
_atom_site_type_symbol
_atom_site_fract_x
_atom_site_fract_y
_atom_site_fract_z
Hg1 Hg 0.500 0.500 0.750
K1 K 0.000 0.000 0.943
K2 K 0.000 0.000 0.557
Sr1 Sr 0.500 0.500 0.250
```

***

A geometry-optimized K2SrHg structure. Source: the Alexandria database, functional PBE.

Structure (CIF):
```
data_K2SrHg
_space_group_name_H-M_alt 'P 1'
_space_group_IT_number 1
_space_group_name_Hall 'P 1'
_cell_length_a 6.199
_cell_length_b 4.623
_cell_length_c 7.261
_cell_angle_alpha 70.11
_cell_angle_beta 90.00
_cell_angle_gamma 90.00
loop_
_atom_site_label
_atom_site_type_symbol
_atom_site_fract_x
_atom_site_fract_y
_atom_site_fract_z
Hg1 Hg 0.500 0.750 0.750
K1 K 0.000 0.909 0.967
K2 K 0.000 0.591 0.533
Sr1 Sr 0.500 0.250 0.250
```

***

A geometry-optimized KSr2Hg structure. Source: the Alexandria database, functional PBE.

Structure (CIF):
```
data_KSr2Hg
_space_group_name_H-M_alt 'P 1'
_space_group_IT_number 1
_space_group_name_Hall 'P 1'
_cell_length_a 4.091
_cell_length_b 4.080
_cell_length_c 11.706
_cell_angle_alpha 69.76
_cell_angle_beta 90.00
_cell_angle_gamma 90.00
loop_
_atom_site_label
_atom_site_type_symbol
_atom_site_fract_x
_atom_site_fract_y
_atom_site_fract_z
Sr1 Sr 0.000 0.920 0.079
Sr2 Sr 0.000 0.580 0.421
K1 K 0.500 0.750 0.750
Hg1 Hg 0.500 0.250 0.250
```

***

A geometry-optimized K3SrHg structure. Source: the Alexandria database, functional PBE.

Structure (CIF):
```
data_K3SrHg
_space_group_name_H-M_alt 'P 1'
_space_group_IT_number 1
_space_group_name_Hall 'P 1'
_cell_length_a 8.091
_cell_length_b 8.091
_cell_length_c 8.091
_cell_angle_alpha 90.00
_cell_angle_beta 90.00
_cell_angle_gamma 90.00
loop_
_atom_site_label
_atom_site_type_symbol
_atom_site_fract_x
_atom_site_fract_y
_atom_site_fract_z
Sr1 Sr 0.000 0.000 0.000
K1 K 0.000 0.500 0.000
K2 K 0.000 0.000 0.500
K3 K 0.500 0.000 0.000
Hg1 Hg 0.500 0.500 0.500
```

***

A geometry-optimized K2SrHg structure. Source: the Alexandria database, functional PBE.

Structure (CIF):
```
data_K2SrHg
_space_group_name_H-M_alt 'P 1'
_space_group_IT_number 1
_space_group_name_Hall 'P 1'
_cell_length_a 6.357
_cell_length_b 6.357
_cell_length_c 8.482
_cell_angle_alpha 69.42
_cell_angle_beta 69.42
_cell_angle_gamma 40.17
loop_
_atom_site_label
_atom_site_type_symbol
_atom_site_fract_x
_atom_site_fract_y
_atom_site_fract_z
Hg1 Hg 0.726 0.726 0.625
K1 K 0.074 0.074 0.973
K2 K 0.259 0.259 0.279
Sr1 Sr 0.441 0.441 0.623
```

***

A geometry-optimized K2SrHg2 structure. Source: the Alexandria database, functional PBE.

Structure (CIF):
```
data_K2SrHg2
_space_group_name_H-M_alt 'P 1'
_space_group_IT_number 1
_space_group_name_Hall 'P 1'
_cell_length_a 8.598
_cell_length_b 8.598
_cell_length_c 5.595
_cell_angle_alpha 90.00
_cell_angle_beta 90.00
_cell_angle_gamma 90.00
loop_
_atom_site_label
_atom_site_type_symbol
_atom_site_fract_x
_atom_site_fract_y
_atom_site_fract_z
Sr1 Sr 0.000 0.000 0.000
Sr2 Sr 0.500 0.500 0.000
K1 K 0.167 0.667 0.500
K2 K 0.667 0.833 0.500
K3 K 0.833 0.333 0.500
K4 K 0.333 0.167 0.500
Hg1 Hg 0.374 0.874 0.000
Hg2 Hg 0.874 0.626 0.000
Hg3 Hg 0.626 0.126 0.000
Hg4 Hg 0.126 0.374 0.000
```

***

A geometry-optimized KSr2Hg structure. Source: the Alexandria database, functional PBE.

Structure (CIF):
```
data_KSr2Hg
_space_group_name_H-M_alt 'P 1'
_space_group_IT_number 1
_space_group_name_Hall 'P 1'
_cell_length_a 6.283
_cell_length_b 6.283
_cell_length_c 6.283
_cell_angle_alpha 60.00
_cell_angle_beta 60.00
_cell_angle_gamma 60.00
loop_
_atom_site_label
_atom_site_type_symbol
_atom_site_fract_x
_atom_site_fract_y
_atom_site_fract_z
Hg1 Hg 0.500 0.500 0.500
K1 K 0.750 0.750 0.750
Sr1 Sr 0.000 0.000 0.000
Sr2 Sr 0.250 0.250 0.250
```

***

A geometry-optimized KSr2Hg structure. Source: the Alexandria database, functional PBE.

Structure (CIF):
```
data_KSr2Hg
_space_group_name_H-M_alt 'P 1'
_space_group_IT_number 1
_space_group_name_Hall 'P 1'
_cell_length_a 5.881
_cell_length_b 5.882
_cell_length_c 4.994
_cell_angle_alpha 90.00
_cell_angle_beta 90.00
_cell_angle_gamma 90.00
loop_
_atom_site_label
_atom_site_type_symbol
_atom_site_fract_x
_atom_site_fract_y
_atom_site_fract_z
Hg1 Hg 0.500 0.000 0.500
K1 K 0.000 0.500 0.500
Sr1 Sr 0.000 0.000 0.000
Sr2 Sr 0.500 0.500 0.000
```

***

A geometry-optimized KSr2Hg structure. Source: the Alexandria database, functional PBE.

Structure (CIF):
```
data_KSr2Hg
_space_group_name_H-M_alt 'P 1'
_space_group_IT_number 1
_space_group_name_Hall 'P 1'
_cell_length_a 4.180
_cell_length_b 4.180
_cell_length_c 10.677
_cell_angle_alpha 90.00
_cell_angle_beta 90.00
_cell_angle_gamma 90.00
loop_
_atom_site_label
_atom_site_type_symbol
_atom_site_fract_x
_atom_site_fract_y
_atom_site_fract_z
Hg1 Hg 0.000 0.000 0.468
K1 K 0.500 0.500 0.691
Sr1 Sr 0.000 0.000 0.027
Sr2 Sr 0.500 0.500 0.315
```

***

Electronic total energy across the listed records, respectively: -1.3834, -1.1776, -1.1971, -1.0668, -0.7839, -1.2461, -1.0142, -1.0542, -1.3173, -1.0500, -1.1206, -1.0933, -1.0660, -1.4352, -0.6503, -1.1585, -1.1258, -1.1332, -1.2208, -1.3463 eV per atom.
ΔH_f (0 K) across the listed records, respectively: -18.6, -12.8, -0.6, -2.1, -4.5, -21.1, 2.9, -15.3, -12.2, -0.5, -7.3, -4.7, -2.1, -23.6, 39.1, -11.0, -22.2, 5.6, -2.9, -15.0 kJ/mol of atoms.